1.
A geometry-optimized Sc3GaC structure, computed with PBEsol.

Cell lengths 4.4355, 4.4355, 4.4355 Å; angles 90.00, 90.00, 90.00 degrees
With the nearest neighbours (Å) after each atom.
Fractional coordinates of all 5 atoms:
Sc (0.0000, 0.0000, 0.5000)  2 C 2.22
Sc (0.0000, 0.5000, 0.0000)  2 C 2.22
Sc (0.5000, 0.0000, 0.0000)  2 C 2.22
Ga (0.5000, 0.5000, 0.5000)  12 Sc 3.14
C (0.0000, 0.0000, 0.0000)  6 Sc 2.22

Properties
Energy (eV/atom): -7.267
Energy of formation (eV/atom): -0.707
M_tot (μB/f.u.): 0.00



2.
A geometry-optimized GaCSe3 structure, computed with PBEsol.

Cell lengths 4.8516, 4.8516, 4.8516 Å; angles 90.00, 90.00, 90.00 degrees
With the nearest neighbours (Å) after each atom.
Fractional coordinates of all 5 atoms:
Ga (0.0000, 0.0000, 0.0000)  6 Se 2.43
C (0.5000, 0.5000, 0.5000)  12 Se 3.43
Se (0.0000, 0.0000, 0.5000)  2 Ga 2.43
Se (0.0000, 0.5000, 0.0000)  2 Ga 2.43
Se (0.5000, 0.0000, 0.0000)  2 Ga 2.43

Properties
Energy (eV/atom): -3.171
M_tot (μB/f.u.): 0.75



3.
A geometry-optimized YGa2TcC structure, computed with PBEsol.

Cell lengths 4.6879, 4.6879, 5.1008 Å; angles 90.00, 90.00, 90.00 degrees
With the nearest neighbours (Å) after each atom.
Fractional coordinates of all 5 atoms:
Y (0.0000, 0.0000, 0.0000)  2 Tc 2.55
Ga (0.0000, 0.5000, 0.5000)  2 Tc 2.34
Ga (0.5000, 0.0000, 0.5000)  2 Tc 2.34
Tc (0.0000, 0.0000, 0.5000)  4 Ga 2.34, 2 Y 2.55
C (0.5000, 0.5000, 0.0000)  4 Y 3.31, 8 Ga 3.46

Properties
Energy (eV/atom): -5.601
Energy of formation (eV/atom): 1.281
M_tot (μB/f.u.): 2.09